# 1
Here is Ag4SnTe after structural relaxation from the Alexandria database. Energies are from PBE-GGA.

```
Ag4SnTe
1.0
0.0000 4.0200 4.0200
4.0200 0.0000 4.0200
4.0200 4.0200 0.0000
Ag Sn Te
4 1 1
Cartesian
1.0086 1.0086 1.0086
3.0114 3.0114 1.0086
3.0114 1.0086 3.0114
1.0086 3.0114 3.0114
4.0200 4.0200 4.0200
6.0301 6.0301 6.0301
```

VASP energy = -2.999 eV/atom
D(E_F) = 0.60 states/eV per atom


# 2
Here is AgSnTe4 after structural relaxation from the Alexandria database. Energies are from PBE-GGA.

```
AgSnTe4
1.0
5.5566 0.0000 0.0000
0.0000 8.5639 0.0000
-0.0200 0.0000 8.5361
Ag Sn Te
2 2 8
Cartesian
-0.0050 2.1382 2.1340
-0.0150 6.4257 6.4021
2.7633 2.1390 6.4021
2.7733 6.4249 2.1340
1.3059 0.3937 0.3819
1.2967 3.8921 3.8841
1.2867 4.6718 8.1521
1.2960 8.1702 4.6499
4.2407 0.3937 3.8861
4.2499 3.8921 0.3839
4.2399 4.6718 4.6520
4.2307 8.1702 8.1542
```

VASP energy = -3.216 eV/atom
D(E_F) = 0.69 states/eV per atom


# 3
Here is AgSn2Te after structural relaxation from the Alexandria database. Energies are from PBE-GGA.

```
AgSn2Te
1.0
7.5118 0.0000 0.0000
0.0000 7.5118 0.0000
0.0000 0.0000 7.5118
Ag Sn Te
4 8 4
Cartesian
0.0000 0.0000 0.0000
0.0000 3.7559 3.7559
3.7559 0.0000 3.7559
3.7559 3.7559 0.0000
1.8779 1.8779 1.8779
1.8779 1.8779 5.6338
1.8779 5.6338 1.8779
1.8779 5.6338 5.6338
5.6338 1.8779 1.8779
5.6338 1.8779 5.6338
5.6338 5.6338 1.8779
5.6338 5.6338 5.6338
0.0000 0.0000 3.7559
0.0000 3.7559 0.0000
3.7559 0.0000 0.0000
3.7559 3.7559 3.7559
```

VASP energy = -3.324 eV/atom
D(E_F) = 0.63 states/eV per atom
distance to the lowest polymorph of the same formula = 18.14 kJ per mole of atoms


# 4
Here is AgSn3Te4 after structural relaxation from the Alexandria database. Energies are from PBE-GGA.

```
AgSn3Te4
1.0
7.6688 0.0000 0.0000
0.0000 8.7938 0.0000
-2.6024 0.0000 7.2139
Ag Sn Te
2 6 8
Cartesian
-0.6506 1.1088 1.8035
-1.9518 7.6850 5.4104
-1.9518 3.2700 5.4104
-0.6506 5.5237 1.8035
1.8826 1.0805 5.4104
3.1838 3.2512 1.8035
1.8826 5.5426 5.4104
3.1838 7.7133 1.8035
-0.7648 1.0431 7.2031
0.5364 7.7507 3.5962
0.5914 3.2545 3.5742
-0.7098 5.5392 7.1811
5.7761 3.2545 0.0328
4.4749 5.5392 3.6397
4.5300 1.0431 3.6177
5.8312 7.7507 0.0107
```

VASP energy = -3.642 eV/atom
D(E_F) = 0.49 states/eV per atom
distance to the lowest polymorph of the same formula = 0.00 kJ per mole of atoms


# 5
Here is AgSn6Te8 after structural relaxation from the Alexandria database. Energies are from PBE-GGA.

```
AgSn6Te8
1.0
4.4330 0.0000 0.0000
0.0676 10.9582 0.0000
0.0850 5.4488 10.1770
Ag Sn Te
1 6 8
Cartesian
0.0000 0.0000 0.0000
1.0513 12.3013 4.1223
1.1913 12.0743 8.8745
1.1687 9.1473 6.4704
3.4169 7.2597 3.7066
3.3943 4.3327 1.3025
3.5344 4.1057 6.0548
1.1471 4.9174 3.6295
1.1798 9.3322 3.4265
1.2354 9.0167 9.5966
1.2985 15.0226 8.1502
3.2871 1.3844 2.0268
3.3503 7.3903 0.5805
3.4058 7.0748 6.7505
3.4386 11.4895 6.5475
```

VASP energy = -3.644 eV/atom
D(E_F) = 0.39 states/eV per atom


# 6
Here is Ag4SnTe5 after structural relaxation from the Alexandria database. Energies are from PBE-GGA.

```
Ag4SnTe5
1.0
-4.7022 4.7022 2.9705
4.7022 -4.7022 2.9705
4.7022 4.7022 -2.9705
Ag Sn Te
4 1 5
Cartesian
6.6236 1.0130 0.0000
1.0130 2.7808 0.0000
3.6891 1.9214 2.9705
-1.9214 3.6891 2.9705
0.0000 0.0000 2.9654
3.7830 1.7852 0.0001
2.9170 -0.9191 2.9706
1.7852 5.6213 0.0001
0.9191 2.9170 2.9706
0.0000 0.0000 5.9374
```

VASP energy = -3.164 eV/atom
D(E_F) = 0.56 states/eV per atom


# 7
Here is AgSnTe3 after structural relaxation from the Alexandria database. Energies are from PBE-GGA.

```
AgSnTe3
1.0
8.9083 0.0000 0.0000
0.0000 4.2528 0.0000
0.0000 0.0000 16.2713
Ag Sn Te
4 4 12
Cartesian
1.3727 1.0632 1.1118
3.0814 3.1896 9.2475
5.8269 1.0632 7.0239
7.5356 3.1896 15.1595
0.0557 3.1896 4.7365
4.3985 1.0632 12.8721
4.5098 3.1896 3.3992
8.8527 1.0632 11.5349
0.5014 1.0632 14.6955
1.0051 1.0632 8.5826
1.9920 3.1896 11.8348
2.4621 1.0632 3.6991
3.4491 3.1896 0.4469
3.9528 3.1896 6.5598
4.9556 1.0632 9.7115
5.4593 1.0632 15.8244
6.4462 3.1896 12.5722
6.9163 1.0632 4.4365
7.9032 3.1896 7.6888
8.4069 3.1896 1.5758
```

VASP energy = -3.282 eV/atom
D(E_F) = 0.52 states/eV per atom
distance to the lowest polymorph of the same formula = 4.81 kJ per mole of atoms


# 8
Here is Ag3SnTe4 after structural relaxation from the Alexandria database. Energies are from PBE-GGA.

```
Ag3SnTe4
1.0
8.9914 0.0000 0.0000
0.0000 7.8751 0.0000
0.0000 0.0000 7.5813
Ag Sn Te
6 2 8
Cartesian
0.0000 1.2669 0.0000
2.2335 2.6022 3.7442
2.2622 5.2728 7.5349
4.4957 6.6081 3.7906
6.7291 5.2728 7.5349
6.7579 2.6022 3.7442
0.0000 6.5664 3.7798
4.4957 1.3086 7.5705
0.0000 1.3248 4.7949
0.0000 6.5353 0.9457
2.2230 2.6681 0.9640
2.2727 5.2069 4.7547
4.4957 1.3398 4.7363
4.4957 6.5503 1.0043
6.7187 5.2069 4.7547
6.7683 2.6681 0.9640
```

VASP energy = -3.244 eV/atom
D(E_F) = 0.60 states/eV per atom
distance to the lowest polymorph of the same formula = 0.66 kJ per mole of atoms